No. 1
La6Nd5Dy: relaxed, PBE-GGA.

Summary:
Spin magnetization ... 0.00 Bohr magnetons per cell
Total energy ... -57.8 eV for the cell shown
Polymorph energy (0 for the lowest one) ... 4.8 meV per atom
Energy of formation ... 14 meV/atom

abc: 8.335 8.335 10.330
angles: 90.03 90.03 143.26
Atoms (fractional coordinates):
1 La 0.000 0.000 0.248
2 La 0.000 0.000 0.752
3 La 0.334 0.666 0.249
4 La 0.334 0.666 0.751
5 La 0.666 0.334 0.249
6 La 0.666 0.334 0.751
7 Nd 0.166 0.834 0.000
8 Nd 0.167 0.833 0.500
9 Nd 0.500 0.500 0.500
10 Nd 0.833 0.167 0.500
11 Nd 0.834 0.166 0.000
12 Dy 0.500 0.500 0.000


No. 2
La7Nd2Dy: relaxed, PBE-GGA.

Summary:
Spin magnetization ... 0.00 Bohr magnetons per cell
Total energy ... -47.4 eV for the cell shown
Polymorph energy (0 for the lowest one) ... 0.0 meV per atom
Energy of formation ... 126 meV/atom

abc: 9.045 3.533 12.044
angles: 90.00 111.54 90.00
Atoms (fractional coordinates):
1 La 0.000 0.000 0.000
2 La 0.191 0.000 0.307
3 La 0.223 0.000 0.809
4 La 0.392 0.500 0.112
5 La 0.608 0.500 0.888
6 La 0.777 0.000 0.191
7 La 0.809 0.000 0.693
8 Nd 0.396 0.000 0.602
9 Nd 0.604 0.000 0.398
10 Dy 0.000 0.500 0.500


No. 3
La3Nd5Dy3: relaxed, PBE-GGA.

Summary:
Spin magnetization ... 0.00 Bohr magnetons per cell
Total energy ... -49.0 eV for the cell shown
Energy of formation ... 309 meV/atom

abc: 11.496 11.496 3.463
angles: 90.00 90.00 120.00
Atoms (fractional coordinates):
1 La 0.000 0.599 0.000
2 La 0.401 0.401 0.000
3 La 0.599 0.000 0.000
4 Nd 0.000 0.336 0.500
5 Nd 0.333 0.667 0.500
6 Nd 0.336 0.000 0.500
7 Nd 0.664 0.664 0.500
8 Nd 0.667 0.333 0.500
9 Dy 0.000 0.842 0.500
10 Dy 0.158 0.158 0.500
11 Dy 0.842 0.000 0.500


No. 4
La7NdDy3: relaxed, PBE-GGA.

Summary:
Spin magnetization ... 0.00 Bohr magnetons per cell
Total energy ... -51.2 eV for the cell shown
Polymorph energy (0 for the lowest one) ... 50.1 meV per atom
Energy of formation ... 173 meV/atom

abc: 7.322 7.322 8.666
angles: 90.00 90.00 120.00
Atoms (fractional coordinates):
1 La 0.000 0.000 0.000
2 La 0.005 0.502 0.969
3 La 0.169 0.338 0.333
4 La 0.169 0.831 0.333
5 La 0.498 0.502 0.969
6 La 0.498 0.995 0.969
7 La 0.662 0.831 0.333
8 Nd 0.667 0.333 0.306
9 Dy 0.334 0.167 0.651
10 Dy 0.833 0.167 0.651
11 Dy 0.833 0.666 0.651


No. 5
La3NdDy: relaxed, PBE-GGA.

Summary:
Spin magnetization ... 0.00 Bohr magnetons per cell
Total energy ... -45.5 eV for the cell shown
Polymorph energy (0 for the lowest one) ... 90.8 meV per atom
Energy of formation ... 281 meV/atom

abc: 7.917 7.917 6.741
angles: 90.00 90.00 120.00
Atoms (fractional coordinates):
1 La 0.199 0.398 0.250
2 La 0.199 0.801 0.250
3 La 0.398 0.199 0.750
4 La 0.602 0.801 0.250
5 La 0.801 0.199 0.750
6 La 0.801 0.602 0.750
7 Nd 0.000 0.000 0.000
8 Nd 0.000 0.000 0.500
9 Dy 0.333 0.667 0.750
10 Dy 0.667 0.333 0.250


No. 6
La3Nd3Dy5: relaxed, PBE-GGA.

Summary:
Spin magnetization ... 0.00 Bohr magnetons per cell
Total energy ... -44.1 eV for the cell shown
Energy of formation ... 723 meV/atom

abc: 9.665 9.665 5.497
angles: 90.00 90.00 120.00
Atoms (fractional coordinates):
1 La 0.000 0.637 0.000
2 La 0.363 0.363 0.000
3 La 0.637 0.000 0.000
4 Nd 0.000 0.490 0.500
5 Nd 0.490 0.000 0.500
6 Nd 0.510 0.510 0.500
7 Dy 0.000 0.274 0.000
8 Dy 0.274 0.000 0.000
9 Dy 0.333 0.667 0.000
10 Dy 0.667 0.333 0.000
11 Dy 0.726 0.726 0.000